Sc2MnP: relaxed, GGA-PBEsol.

## Properties
Size of the total moment, μB per formula unit: 2.136
Raw total energy, eV/atom: -7.705
Space-group type: No. 44
Energy relative to the elements, eV/atom: -0.5146

Cell: 3.436 4.010 5.431 Å, 111.66 108.44 90.00°
Fractional coordinates of all 4 atoms:
Mn1 0.536 0.036 0.073
P1 0.209 0.209 0.418
Sc1 0.994 0.494 0.988
Sc2 0.761 0.761 0.521

---

InOs2Cl: relaxed, GGA-PBEsol.

## Properties
Size of the total moment, μB per formula unit: 0.001
Raw total energy, eV/atom: -6.544
Space-group type: No. 71

Cell: 2.812 4.932 5.343 Å, 117.48 105.26 90.00°
Fractional coordinates of all 4 atoms:
Cl1 0.500 0.000 0.000
Os1 0.767 0.767 0.534
Os2 0.233 0.233 0.466
In1 0.000 0.500 0.000